VASP calculation (PBE) on a relaxed Ba3Os crystal.

Calculated values
E_form = 0.60 eV per atom
space-group type = No. 123

Unit cell a=3.851 b=3.851 c=11.290 alpha=90.00 beta=90.00 gamma=90.00
Sites, in units of the cell vectors:
Ba: 0.000 0.000 0.000
Ba: 0.500 0.500 0.339
Ba: 0.500 0.500 0.661
Os: 0.000 0.000 0.500


VASP calculation (PBE) on a relaxed K2DyBr6 crystal.

Calculated values
space-group type = No. 38
raw formation energy = -1490 meV/atom

Unit cell a=4.495 b=8.565 c=8.565 alpha=120.22 beta=90.00 gamma=90.00
Sites, in units of the cell vectors:
K: 0.000 0.167 0.833
K: 0.000 0.833 0.167
Dy: 0.500 0.502 0.502
Br: 0.000 0.266 0.500
Br: 0.000 0.500 0.266
Br: 0.000 0.738 0.738
Br: 0.500 0.146 0.146
Br: 0.500 0.500 0.856
Br: 0.500 0.856 0.500


VASP calculation (PBE) on a relaxed KMgIr2O crystal.

Calculated values
space-group type = No. 123
raw formation energy = 2769 meV/atom

Unit cell a=4.753 b=4.753 c=5.509 alpha=90.00 beta=90.00 gamma=90.00
Sites, in units of the cell vectors:
K: 0.000 0.000 0.000
Mg: 0.000 0.000 0.500
Ir: 0.000 0.500 0.000
Ir: 0.500 0.000 0.000
O: 0.500 0.500 0.500


VASP calculation (PBE) on a relaxed SrPtS crystal.

Calculated values
space-group type = No. 194
raw formation energy = -1136 meV/atom

Unit cell a=4.270 b=4.270 c=8.343 alpha=90.00 beta=90.00 gamma=120.00
Sites, in units of the cell vectors:
Sr: 0.000 0.000 0.000
Sr: 0.000 0.000 0.500
Pt: 0.333 0.667 0.250
Pt: 0.667 0.333 0.750
S: 0.333 0.667 0.750
S: 0.667 0.333 0.250


The ρ results, record by record, are as follows: 5.97; 4.20; 6.19; 7.94 Mg/m³.